A relaxed MnCo2Si crystal, computed with GGA-PBEsol.

Properties
- SG: P4/mmm (123)
- Total energy: -8.13 eV/atom

a b c (Å): 3.864 3.864 2.890
angles (deg): 90.00 90.00 90.00
Fractional coordinates of all 4 atoms:
Mn1 0.000 0.000 0.000
Co1 0.000 0.500 0.500
Co2 0.500 0.000 0.500
Si1 0.500 0.500 0.000

***

A relaxed MgPIO2 crystal, computed with GGA-PBEsol.

Properties
- SG: P4/mmm (123)
- Energy relative to the lowest polymorph listed for this composition: 49.0 meV/atom

a b c (Å): 3.906 3.906 6.087
angles (deg): 90.00 90.00 90.00
Fractional coordinates of all 5 atoms:
Mg1 0.000 0.000 0.000
P1 0.500 0.500 0.500
I1 0.000 0.000 0.500
O1 0.000 0.500 0.000
O2 0.500 0.000 0.000

***

A relaxed Na2MnP2O7 crystal, computed with GGA-PBEsol.

Properties
- SG: P-1 (2)
- Total energy: -7.18 eV/atom

a b c (Å): 5.316 6.546 9.414
angles (deg): 109.68 95.54 106.14
Fractional coordinates of all 24 atoms:
Na1 0.130 0.282 0.034
Na2 0.350 0.642 0.729
Na3 0.650 0.358 0.271
Na4 0.870 0.718 0.966
Mn1 0.087 0.099 0.362
Mn2 0.913 0.901 0.638
P1 0.255 0.663 0.391
P2 0.429 0.828 0.134
P3 0.571 0.172 0.866
P4 0.745 0.337 0.609
O1 0.064 0.805 0.421
O2 0.098 0.406 0.335
O3 0.263 0.991 0.166
O4 0.270 0.044 0.820
O5 0.330 0.646 0.971
O6 0.368 0.674 0.240
O7 0.492 0.745 0.523
O8 0.508 0.255 0.477
O9 0.632 0.326 0.760
O10 0.670 0.354 0.029
O11 0.730 0.956 0.180
O12 0.737 0.009 0.834
O13 0.902 0.594 0.665
O14 0.936 0.195 0.579

***

A relaxed NaLa2TaTi2O10 crystal, computed with GGA-PBEsol.

Properties
- SG: Cm (8)
- Total energy: -8.96 eV/atom

a b c (Å): 15.045 15.045 3.848
angles (deg): 97.31 97.31 14.68
Fractional coordinates of all 16 atoms:
Na1 0.000 0.000 0.000
La1 0.185 0.185 0.687
La2 0.333 0.333 0.833
Ta1 0.607 0.607 0.109
Ti1 0.753 0.753 0.255
Ti2 0.901 0.901 0.401
O1 0.123 0.123 0.125
O2 0.247 0.247 0.249
O3 0.382 0.382 0.382
O4 0.547 0.547 0.049
O5 0.623 0.623 0.626
O6 0.685 0.685 0.187
O7 0.747 0.747 0.749
O8 0.815 0.815 0.317
O9 0.882 0.882 0.882
O10 0.958 0.958 0.458

***

A relaxed HfRhBr2 crystal, computed with GGA-PBEsol.

Properties
- SG: R-3m (166)
- Total energy: -5.77 eV/atom

a b c (Å): 3.245 3.245 25.959
angles (deg): 90.00 90.00 120.00
Fractional coordinates of all 12 atoms:
Hf1 0.000 0.000 0.000
Hf2 0.333 0.667 0.667
Hf3 0.667 0.333 0.333
Rh1 0.000 0.000 0.500
Rh2 0.333 0.667 0.167
Rh3 0.667 0.333 0.833
Br1 0.000 0.000 0.408
Br2 0.000 0.000 0.592
Br3 0.333 0.667 0.075
Br4 0.333 0.667 0.259
Br5 0.667 0.333 0.741
Br6 0.667 0.333 0.925

***

A relaxed LiTe2MoI crystal, computed with GGA-PBEsol.

Properties
- SG: P4/mmm (123)
- Energy relative to the lowest polymorph listed for this composition: 0.0 meV/atom

a b c (Å): 5.162 5.162 6.007
angles (deg): 90.00 90.00 90.00
Fractional coordinates of all 5 atoms:
Li1 0.000 0.000 0.000
Te1 0.000 0.500 0.500
Te2 0.500 0.000 0.500
Mo1 0.500 0.500 0.500
I1 0.500 0.500 0.000

***

Number 1: spin magnetization 5.01 Bohr magnetons per cell. Number 2: spin magnetization 2.48 Bohr magnetons per cell. Number 3: spin magnetization 10.00 Bohr magnetons per cell. Number 4: spin magnetization 0.00 Bohr magnetons per cell. Number 5: spin magnetization 0.01 Bohr magnetons per cell. Number 6: spin magnetization 0.01 Bohr magnetons per cell.